A plane-wave DFT calculation with GGA-PBE was carried out for a relaxed VCrB crystal.

Summary:
Polymorph energy (0 for the lowest one) ... 409.4 meV per atom
DFT formation energy ... -0.4 eV per formula unit

a = 4.463 Å, b = 2.977 Å, c = 4.908 Å
α = 90.00°, β = 98.80°, γ = 90.00°
Element x y z (fractional)
Cr: 0.141 0.000 0.514
Cr: 0.141 0.500 0.014
B: 0.398 0.000 0.213
B: 0.398 0.500 0.713
V: 0.687 0.000 0.916
V: 0.687 0.500 0.416